Entry from Alexandria via LeMat-Bulk: a geometry-optimized TeIr2 structure (PBE).

Properties
Symmetry: No. 58
Excess energy over the best structure of this formula in the dataset: 493 meV per atom
Energy: -38.73 eV/cell
Density: 15.51 g/cm³
Formation energy without anion corrections: 500 meV/atom

Unit cell a=3.6198 b=7.2654 c=4.1682 alpha=90.00 beta=90.00 gamma=90.00
Atoms (fractional coordinates):
Te1 0.0000 0.0000 0.0000
Te2 0.5000 0.5000 0.5000
Ir1 0.2396 0.3354 0.0000
Ir2 0.2604 0.8354 0.5000
Ir3 0.7396 0.1646 0.5000
Ir4 0.7604 0.6646 0.0000